{
  "formula": "Sr3Pb2",
  "functional": "PBE-GGA",
  "state": "relaxed",
  "density_kg_m3": 5472,
  "formation_energy_ev_per_atom": -0.408,
  "lattice": [[5.780, 0.000, 0.000], [-2.890, 5.006, 0.000], [0.000, 0.000, 7.104]],
  "species": ["Sr", "Sr", "Sr", "Pb", "Pb"],
  "fractional_positions": [[0.000, 0.000, 0.000], [0.333, 0.667, 0.321], [0.667, 0.333, 0.679], [0.333, 0.667, 0.810], [0.667, 0.333, 0.190]]
}